A plane-wave DFT calculation with PBE was carried out for crystalline Ac4PuAs5 at its relaxed geometry.

Lattice parameters (Å, degrees): 4.4905 4.4905 31.6384 90.00 90.00 90.00
Space group I4/mmm (No. 139)
Symmetry-distinct sites (fractional):
Ac (0.0000, 0.0000, 0.0981) [4 per cell]
Ac (0.0000, 0.0000, 0.3011) [4 per cell]
Pu (0.0000, 0.0000, 0.5000) [2 per cell]
As (0.0000, 0.0000, 0.0000) [2 per cell]
As (0.0000, 0.0000, 0.1994) [4 per cell]
As (0.0000, 0.0000, 0.4049) [4 per cell]

Properties
E_tot, eV/f.u.: -67.37
Formation energy from the elements, kJ/mol of formula units: -1289

***

A plane-wave DFT calculation with PBE was carried out for crystalline AcPuAs2 at its relaxed geometry.

Lattice parameters (Å, degrees): 4.2824 4.2824 22.0564 90.00 90.00 120.00
Space group R3m (No. 160, hexagonal axes)
Symmetry-distinct sites (fractional):
Ac (0.0000, 0.0000, 0.0000) [3 per cell]
Pu (0.0000, 0.0000, 0.1712) [3 per cell]
As (0.0000, 0.0000, 0.5771) [3 per cell]
As (0.0000, 0.0000, 0.7623) [3 per cell]

Properties
E_tot, eV/f.u.: -32.12
Formation energy from the elements, kJ/mol of formula units: -423
Excess energy over the best structure of this formula in the dataset, meV per atom: 113.7

***

A plane-wave DFT calculation with PBE was carried out for crystalline AcPu2As at its relaxed geometry.

Lattice parameters (Å, degrees): 4.6044 4.6044 5.1130 90.00 90.00 90.00
Space group P4/mmm (No. 123)
Symmetry-distinct sites (fractional):
Ac (0.0000, 0.0000, 0.0000) [1 per cell]
Pu (0.0000, 0.5000, 0.5000) [2 per cell]
As (0.5000, 0.5000, 0.0000) [1 per cell]

Properties
E_tot, eV/f.u.: -38.62
Formation energy from the elements, kJ/mol of formula units: -115
Excess energy over the best structure of this formula in the dataset, meV per atom: 0.0

***

A plane-wave DFT calculation with PBE was carried out for crystalline AcPuAs2 at its relaxed geometry.

Lattice parameters (Å, degrees): 7.4551 7.4551 7.4551 90.00 90.00 90.00
Space group Fm-3m (No. 225)
Symmetry-distinct sites (fractional):
Ac (0.0000, 0.0000, 0.0000) [4 per cell]
Pu (0.0000, 0.0000, 0.5000) [4 per cell]
As (0.2500, 0.2500, 0.2500) [8 per cell]

Properties
E_tot, eV/f.u.: -31.34
Formation energy from the elements, kJ/mol of formula units: -347
Excess energy over the best structure of this formula in the dataset, meV per atom: 309.0